Below is crystalline Cu2ReRh at its relaxed geometry, with properties calculated at the PBEsol level.

a b c (Å): 2.672 4.442 5.124
angles (deg): 115.69 105.12 90.00
Element x y z (fractional)
Cu 0.751 0.751 0.502
Cu 0.249 0.249 0.498
Re 0.000 0.500 0.000
Rh 0.500 0.000 0.000

Calculated values
Its formation energy is 1.26 eV/f.u. The space-group type is No. 71.